Model P:
A relaxed AcPr2Nd8 crystal. Source: the Alexandria database, functional PBE-GGA.

M_tot	0.0	μB per cell
ρ	6.8	g cm⁻³
symmetry	No. 12
V	36.792	A^3/atom

a = 9.1577 Å, b = 9.1577 Å, c = 6.9887 Å
α = 98.47°, β = 98.47°, γ = 44.38°
With the nearest neighbours (Å) after each atom.
Atoms (fractional coordinates):
Ac (0.0000, 0.0000, 0.0000)  8 Nd 3.62-3.87, 2 Pr 4.04
Pr (0.2091, 0.2091, 0.7928)  7 Nd 3.46-3.67
Pr (0.7909, 0.7909, 0.2072)  7 Nd 3.46-3.67
Nd (0.1776, 0.6402, 0.5774)  3 Nd 3.20-3.43, 1 Pr 3.54
Nd (0.2394, 0.2394, 0.2935)  5 Nd 3.36-3.60, 4 Pr 3.46-3.64
Nd (0.3598, 0.8224, 0.4226)  3 Nd 3.20-3.43, 1 Pr 3.54
Nd (0.4095, 0.4095, 0.0843)  4 Nd 3.44-3.80, 1 Pr 3.67
Nd (0.5905, 0.5905, 0.9157)  4 Nd 3.44-3.80, 1 Pr 3.67
Nd (0.6402, 0.1776, 0.5774)  3 Nd 3.20-3.43, 1 Pr 3.54
Nd (0.7606, 0.7606, 0.7065)  5 Nd 3.36-3.60, 4 Pr 3.46-3.64
Nd (0.8224, 0.3598, 0.4226)  3 Nd 3.20-3.43, 1 Pr 3.54

***

Model Q:
A relaxed AcPr2Nd8 crystal. Source: the Alexandria database, functional PBE-GGA.

M_tot	0.0	μB per cell
ρ	6.8	g cm⁻³
symmetry	No. 71
V	36.716	A^3/atom

a = 9.7163 Å, b = 9.7163 Å, c = 9.7163 Å
α = 145.88°, β = 127.42°, γ = 64.18°
With the nearest neighbours (Å) after each atom.
Atoms (fractional coordinates):
Ac (0.0000, 0.0000, 0.0000)  12 Nd 3.48-3.86
Pr (0.2995, 0.2995, 0.0000)  10 Nd 3.47-3.74
Pr (0.7005, 0.7005, 0.0000)  10 Nd 3.47-3.74
Nd (0.1531, 0.8565, 0.2966)  3 Pr 3.47-3.62, 1 Ac 3.48, 6 Nd 3.50-3.83
Nd (0.1581, 0.6581, 0.5000)  8 Nd 3.64-3.83, 2 Pr 3.68, 2 Ac 3.86
Nd (0.2959, 0.5000, 0.7959)  7 Nd 3.51-3.70, 2 Pr 3.74, 2 Ac 3.82
Nd (0.4400, 0.1435, 0.2966)  3 Pr 3.47-3.62, 1 Ac 3.48, 6 Nd 3.50-3.83
Nd (0.5600, 0.8565, 0.7034)  3 Pr 3.47-3.62, 1 Ac 3.48, 6 Nd 3.50-3.83
Nd (0.7041, 0.5000, 0.2041)  7 Nd 3.51-3.70, 2 Pr 3.74, 2 Ac 3.82
Nd (0.8419, 0.3419, 0.5000)  8 Nd 3.64-3.83, 2 Pr 3.68, 2 Ac 3.86
Nd (0.8469, 0.1435, 0.7034)  3 Pr 3.47-3.62, 1 Ac 3.48, 6 Nd 3.50-3.83

***

Which structure is the most stable? The one labeled model Q.

***

Model P:
A relaxed Ac3PrNd crystal. Source: the Alexandria database, functional PBE-GGA.

M_tot	0.0	μB per cell
ρ	7.4	g cm⁻³
symmetry	No. 12
V	43.413	A^3/atom

a = 10.8756 Å, b = 10.8756 Å, c = 6.2015 Å
α = 106.51°, β = 106.51°, γ = 128.51°
With the nearest neighbours (Å) after each atom.
Atoms (fractional coordinates):
Ac (0.0723, 0.3809, 0.9766)  1 Pr 3.33, 2 Nd 3.63
Ac (0.1258, 0.1258, 0.3755)  1 Pr 3.24, 2 Ac 3.58-3.59
Ac (0.3809, 0.0723, 0.9766)  1 Pr 3.33, 2 Nd 3.63
Ac (0.6191, 0.9277, 0.0234)  1 Pr 3.33, 2 Nd 3.63
Ac (0.8742, 0.8742, 0.6245)  1 Pr 3.24, 2 Ac 3.58-3.59
Ac (0.9277, 0.6191, 0.0234)  1 Pr 3.33, 2 Nd 3.63
Pr (0.4208, 0.4208, 0.1709)  3 Ac 3.24-3.33, 2 Pr 3.30
Pr (0.5792, 0.5792, 0.8291)  3 Ac 3.24-3.33, 2 Pr 3.30
Nd (0.0000, 0.5000, 0.5000)  6 Ac 3.63-3.89
Nd (0.5000, 0.0000, 0.5000)  6 Ac 3.63-3.89

***

Model Q:
A relaxed Ac3PrNd crystal. Source: the Alexandria database, functional PBE-GGA.

M_tot	0.0	μB per cell
ρ	7.8	g cm⁻³
symmetry	No. 12
V	41.238	A^3/atom

a = 10.2333 Å, b = 10.2333 Å, c = 10.9261 Å
α = 104.97°, β = 104.97°, γ = 21.94°
With the nearest neighbours (Å) after each atom.
Atoms (fractional coordinates):
Ac (0.0014, 0.0014, 0.2395)  4 Pr 3.77-3.87, 1 Nd 3.86, 7 Ac 3.89-4.02
Ac (0.2008, 0.2008, 0.8488)  3 Pr 3.80-3.87, 2 Nd 3.83, 7 Ac 3.89-3.92
Ac (0.3982, 0.3982, 0.4542)  3 Nd 3.81-3.83, 9 Ac 3.89-4.02
Ac (0.6018, 0.6018, 0.5458)  3 Nd 3.81-3.83, 9 Ac 3.89-4.02
Ac (0.7992, 0.7992, 0.1512)  3 Pr 3.80-3.87, 2 Nd 3.83, 7 Ac 3.89-3.92
Ac (0.9986, 0.9986, 0.7605)  4 Pr 3.77-3.87, 1 Nd 3.86, 7 Ac 3.89-4.02
Pr (0.3970, 0.3970, 0.9460)  7 Ac 3.77-3.87, 2 Nd 3.84, 3 Pr 3.89-4.00
Pr (0.6030, 0.6030, 0.0540)  7 Ac 3.77-3.87, 2 Nd 3.84, 3 Pr 3.89-4.00
Nd (0.2006, 0.2006, 0.3501)  6 Ac 3.81-3.86, 2 Pr 3.84, 4 Nd 3.88-3.89
Nd (0.7994, 0.7994, 0.6499)  6 Ac 3.81-3.86, 2 Pr 3.84, 4 Nd 3.88-3.89

***

Which structure is the most stable? The one labeled model Q.

***

Model P:
A relaxed Ac2Pr7Nd3 crystal. Source: the Alexandria database, functional PBE-GGA.

M_tot	0.0	μB per cell
ρ	6.8	g cm⁻³
symmetry	No. 10
V	37.907	A^3/atom

a = 6.0972 Å, b = 3.7404 Å, c = 19.9779 Å
α = 90.00°, β = 93.26°, γ = 90.00°
With the nearest neighbours (Å) after each atom.
Atoms (fractional coordinates):
Ac (0.2030, 0.0000, 0.2947)  3 Pr 3.42-3.60, 2 Ac 3.74
Ac (0.7970, 0.0000, 0.7053)  3 Pr 3.42-3.60, 2 Ac 3.74
Pr (0.1770, 0.5000, 0.1402)  2 Nd 3.49, 7 Pr 3.51-3.74, 2 Ac 3.60
Pr (0.2428, 0.0000, 0.4664)  2 Pr 3.32-3.34, 1 Ac 3.42
Pr (0.3206, 0.0000, 0.8285)  8 Pr 3.61-4.00, 2 Ac 3.91-3.92, 1 Nd 4.04
Pr (0.5000, 0.5000, 0.0000)  4 Pr 3.51-3.74, 4 Nd 3.58
Pr (0.6794, 0.0000, 0.1715)  8 Pr 3.61-4.00, 2 Ac 3.91-3.92, 1 Nd 4.04
Pr (0.7572, 0.0000, 0.5336)  2 Pr 3.32-3.34, 1 Ac 3.42
Pr (0.8230, 0.5000, 0.8598)  2 Nd 3.49, 7 Pr 3.51-3.74, 2 Ac 3.60
Nd (0.0000, 0.0000, 0.0000)  8 Pr 3.49-3.58, 2 Nd 3.74
Nd (0.2838, 0.5000, 0.6288)  2 Nd 3.74, 6 Pr 3.74-4.09, 4 Ac 3.88-3.89
Nd (0.7162, 0.5000, 0.3712)  2 Nd 3.74, 6 Pr 3.74-4.09, 4 Ac 3.88-3.89

***

Model Q:
A relaxed Ac2Pr7Nd3 crystal. Source: the Alexandria database, functional PBE-GGA.

M_tot	0.0	μB per cell
ρ	6.9	g cm⁻³
symmetry	No. 10
V	37.583	A^3/atom

a = 6.6271 Å, b = 3.7062 Å, c = 18.4801 Å
α = 90.00°, β = 96.48°, γ = 90.00°
With the nearest neighbours (Å) after each atom.
Atoms (fractional coordinates):
Ac (0.0577, 0.0000, 0.1722)  5 Pr 3.60-3.74, 2 Ac 3.71, 4 Nd 3.77-3.84
Ac (0.9423, 0.0000, 0.8278)  5 Pr 3.60-3.74, 2 Ac 3.71, 4 Nd 3.77-3.84
Pr (0.0000, 0.5000, 0.5000)  8 Pr 3.67-3.74, 4 Nd 3.80
Pr (0.2290, 0.0000, 0.6647)  3 Nd 3.70-3.85, 8 Pr 3.71-3.83, 1 Ac 3.74
Pr (0.2601, 0.0000, 0.9991)  2 Pr 3.18-3.45
Pr (0.2773, 0.5000, 0.3387)  7 Pr 3.67-3.83, 3 Nd 3.67-3.91, 2 Ac 3.74
Pr (0.7227, 0.5000, 0.6613)  7 Pr 3.67-3.83, 3 Nd 3.67-3.91, 2 Ac 3.74
Pr (0.7399, 0.0000, 0.0009)  2 Pr 3.18-3.45
Pr (0.7710, 0.0000, 0.3353)  3 Nd 3.70-3.85, 8 Pr 3.71-3.83, 1 Ac 3.74
Nd (0.4515, 0.5000, 0.8383)  2 Nd 3.71, 4 Ac 3.77-3.84, 7 Pr 3.84-3.91
Nd (0.5000, 0.0000, 0.5000)  10 Pr 3.67-3.80, 2 Nd 3.71
Nd (0.5485, 0.5000, 0.1617)  2 Nd 3.71, 4 Ac 3.77-3.84, 7 Pr 3.84-3.91

***

Which structure is the most stable? The one labeled model Q.

***

Model P:
A relaxed AcPr2Nd4 crystal. Source: the Alexandria database, functional PBE-GGA.

M_tot	0.0	μB per cell
ρ	7.0	g cm⁻³
symmetry	No. 166
V	36.855	A^3/atom

a = 21.3148 Å, b = 21.3148 Å, c = 21.3148 Å
α = 10.09°, β = 10.09°, γ = 10.09°
With the nearest neighbours (Å) after each atom.
Atoms (fractional coordinates):
Ac (0.0000, 0.0000, 0.0000)  6 Ac 3.75, 6 Nd 3.81
Pr (0.4296, 0.4296, 0.4296)  6 Nd 3.69-3.70, 6 Pr 3.75
Pr (0.5704, 0.5704, 0.5704)  6 Nd 3.69-3.70, 6 Pr 3.75
Nd (0.1433, 0.1433, 0.1433)  9 Nd 3.67-3.75, 3 Pr 3.70
Nd (0.2841, 0.2841, 0.2841)  3 Pr 3.69, 6 Nd 3.75, 3 Ac 3.81
Nd (0.7159, 0.7159, 0.7159)  3 Pr 3.69, 6 Nd 3.75, 3 Ac 3.81
Nd (0.8567, 0.8567, 0.8567)  9 Nd 3.67-3.75, 3 Pr 3.70

***

Model Q:
A relaxed AcPr2Nd4 crystal. Source: the Alexandria database, functional PBE-GGA.

M_tot	0.0	μB per cell
ρ	6.7	g cm⁻³
symmetry	No. 136
V	38.582	A^3/atom

a = 9.5379 Å, b = 9.5379 Å, c = 5.9375 Å
α = 90.00°, β = 90.00°, γ = 90.00°
With the nearest neighbours (Å) after each atom.
Atoms (fractional coordinates):
Ac (0.0000, 0.0000, 0.0000)  4 Nd 3.75, 6 Pr 3.97-4.11
Ac (0.5000, 0.5000, 0.5000)  4 Nd 3.75, 6 Pr 3.97-4.11
Pr (0.1955, 0.1955, 0.5000)  6 Nd 3.51-3.55
Pr (0.3045, 0.6955, 0.0000)  6 Nd 3.51-3.55
Pr (0.6955, 0.3045, 0.0000)  6 Nd 3.51-3.55
Pr (0.8045, 0.8045, 0.5000)  6 Nd 3.51-3.55
Nd (0.1155, 0.3754, 0.0000)  2 Nd 3.24-3.51, 3 Pr 3.51-3.55
Nd (0.1246, 0.6155, 0.5000)  2 Nd 3.24-3.51, 3 Pr 3.51-3.55
Nd (0.3754, 0.1155, 0.0000)  2 Nd 3.24-3.51, 3 Pr 3.51-3.55
Nd (0.3845, 0.8754, 0.5000)  2 Nd 3.24-3.51, 3 Pr 3.51-3.55
Nd (0.6155, 0.1246, 0.5000)  2 Nd 3.24-3.51, 3 Pr 3.51-3.55
Nd (0.6246, 0.8845, 0.0000)  2 Nd 3.24-3.51, 3 Pr 3.51-3.55
Nd (0.8754, 0.3845, 0.5000)  2 Nd 3.24-3.51, 3 Pr 3.51-3.55
Nd (0.8845, 0.6246, 0.0000)  2 Nd 3.24-3.51, 3 Pr 3.51-3.55

***

Which structure is the most stable? The one labeled model P.